An optimized crystal structure of HgPbW2, computed with PBE.

DFT formation energy = 1.1486 eV/atom
Total energy = -50.644 eV per cell
Energy relative to the lowest polymorph listed for this composition = 548 meV per atom

Cell and atoms, written as CIF:
```
data_HgPbW2
_chemical_formula_sum 'Hg2 Pb2 W4'
_cell_length_a 3.355
_cell_length_b 4.840
_cell_length_c 9.576
_cell_angle_alpha 90.00
_cell_angle_beta 90.00
_cell_angle_gamma 90.00
_symmetry_space_group_name_H-M 'C m m m'
_symmetry_Int_Tables_number 65
_symmetry_space_group_name_Hall '-C 2 2'
loop_
_atom_site_label
_atom_site_type_symbol
_atom_site_fract_x
_atom_site_fract_y
_atom_site_fract_z
Hg1 Hg 0.000 0.000 0.000
Pb1 Pb 0.000 0.000 0.500
W1 W 0.000 0.500 0.248
```